Record 1
First-principles (PBE) data for an optimized crystal structure of TmLuIr, as listed in OQMD.

Formation enthalpy at 0 K (eV per atom): -0.791
Total moment (μB per atom): 0.00
SG: No. 62

abc: 7.134 4.486 8.671
angles: 90.00 90.00 90.00
Atoms (fractional coordinates):
Tm 0.143 0.250 0.079
Tm 0.357 0.750 0.579
Tm 0.643 0.250 0.421
Tm 0.857 0.750 0.921
Lu 0.010 0.250 0.662
Lu 0.490 0.750 0.162
Lu 0.510 0.250 0.838
Lu 0.990 0.750 0.338
Ir 0.242 0.250 0.403
Ir 0.258 0.750 0.903
Ir 0.742 0.250 0.097
Ir 0.758 0.750 0.597

---

Record 2
First-principles (PBE) data for an optimized crystal structure of TmLuIr, as listed in OQMD.

Formation enthalpy at 0 K (eV per atom): -0.807
Total moment (μB per atom): 0.00
SG: No. 62

abc: 7.137 4.474 8.676
angles: 90.00 90.00 90.00
Atoms (fractional coordinates):
Tm 0.010 0.250 0.163
Tm 0.490 0.750 0.663
Tm 0.510 0.250 0.337
Tm 0.990 0.750 0.837
Lu 0.142 0.250 0.578
Lu 0.358 0.750 0.078
Lu 0.642 0.250 0.922
Lu 0.858 0.750 0.422
Ir 0.245 0.250 0.903
Ir 0.255 0.750 0.403
Ir 0.745 0.250 0.597
Ir 0.755 0.750 0.097

---

Record 3
First-principles (PBE) data for an optimized crystal structure of LuUIr, as listed in OQMD.

Formation enthalpy at 0 K (eV per atom): -0.200
Total moment (μB per atom): 1.00
SG: No. 216

abc: 4.705 4.705 4.705
angles: 60.00 60.00 60.00
Atoms (fractional coordinates):
Lu 0.000 0.000 0.000
U 0.500 0.500 0.500
Ir 0.250 0.250 0.250

---

Copy entry 2 word for word.
First-principles (PBE) data for an optimized crystal structure of TmLuIr, as listed in OQMD.

Formation enthalpy at 0 K (eV per atom): -0.807
Total moment (μB per atom): 0.00
SG: No. 62

abc: 7.137 4.474 8.676
angles: 90.00 90.00 90.00
Atoms (fractional coordinates):
Tm 0.010 0.250 0.163
Tm 0.490 0.750 0.663
Tm 0.510 0.250 0.337
Tm 0.990 0.750 0.837
Lu 0.142 0.250 0.578
Lu 0.358 0.750 0.078
Lu 0.642 0.250 0.922
Lu 0.858 0.750 0.422
Ir 0.245 0.250 0.903
Ir 0.255 0.750 0.403
Ir 0.745 0.250 0.597
Ir 0.755 0.750 0.097

---

Which of these has the highest total moment?
LuUIr

---

What is the total moment in the third record?
1.00 μB per atom